(1)
The following is a DFT calculation (PBE) of Ti3Ni3Pd after structural relaxation.

Unit cell a=7.1444 b=7.1444 c=4.3820 alpha=90.00 beta=90.00 gamma=120.00
Fractional coordinates of all 14 atoms:
Ti: 0.0869 0.6565 0.2500
Ti: 0.3435 0.4305 0.2500
Ti: 0.4305 0.0869 0.7500
Ti: 0.5695 0.9131 0.2500
Ti: 0.6565 0.5695 0.7500
Ti: 0.9131 0.3435 0.7500
Ni: 0.0398 0.8169 0.7500
Ni: 0.1831 0.2228 0.7500
Ni: 0.2228 0.0398 0.2500
Ni: 0.7772 0.9602 0.7500
Ni: 0.8169 0.7772 0.2500
Ni: 0.9602 0.1831 0.2500
Pd: 0.3333 0.6667 0.7500
Pd: 0.6667 0.3333 0.2500

Results
DFT total energy ... -97.93 eV for the cell shown
Formation energy ... -265 kJ/mol of formula units
SG ... P6_3/m (176)

---

(2)
The following is a DFT calculation (PBE) of Ti3Ni2Pd3 after structural relaxation.

Unit cell a=3.6903 b=3.9196 c=15.9960 alpha=90.00 beta=90.00 gamma=90.00
Fractional coordinates of all 16 atoms:
Ti: 0.0000 0.0000 0.0000
Ti: 0.0000 0.5000 0.1440
Ti: 0.0000 0.5000 0.8560
Ti: 0.5000 0.0000 0.3560
Ti: 0.5000 0.0000 0.6440
Ti: 0.5000 0.5000 0.5000
Ni: 0.0000 0.0000 0.2502
Ni: 0.0000 0.0000 0.7498
Ni: 0.5000 0.5000 0.2498
Ni: 0.5000 0.5000 0.7502
Pd: 0.0000 0.0000 0.5000
Pd: 0.0000 0.5000 0.3728
Pd: 0.0000 0.5000 0.6272
Pd: 0.5000 0.0000 0.1272
Pd: 0.5000 0.0000 0.8728
Pd: 0.5000 0.5000 0.0000

Results
DFT total energy ... -109.52 eV for the cell shown
Formation energy ... -380 kJ/mol of formula units
SG ... Immm (71)

---

(3)
The following is a DFT calculation (PBE) of Ti5NiPd after structural relaxation.

Unit cell a=5.4276 b=5.4276 c=9.4409 alpha=110.66 beta=110.66 gamma=68.22
Fractional coordinates of all 14 atoms:
Ti: 0.0437 0.9563 0.7500
Ti: 0.0450 0.5111 0.8126
Ti: 0.2416 0.4813 0.4954
Ti: 0.4813 0.2416 0.9954
Ti: 0.4889 0.9550 0.6874
Ti: 0.5111 0.0450 0.3126
Ti: 0.5187 0.7584 0.0046
Ti: 0.7584 0.5187 0.5046
Ti: 0.9550 0.4889 0.1874
Ti: 0.9563 0.0437 0.2500
Ni: 0.0000 0.0000 0.0000
Ni: 0.0000 0.0000 0.5000
Pd: 0.4184 0.5816 0.2500
Pd: 0.5816 0.4184 0.7500

Results
DFT total energy ... -100.92 eV for the cell shown
Formation energy ... -1 kJ/mol of formula units
SG ... C2/c (15)

---

(4)
The following is a DFT calculation (PBE) of TiNi2Pd2 after structural relaxation.

Unit cell a=4.2036 b=4.2036 c=9.7575 alpha=90.00 beta=90.00 gamma=120.00
Fractional coordinates of all 10 atoms:
Ti: 0.0000 0.0000 0.2500
Ti: 0.0000 0.0000 0.7500
Ni: 0.3333 0.6667 0.1171
Ni: 0.3333 0.6667 0.3829
Ni: 0.6667 0.3333 0.6171
Ni: 0.6667 0.3333 0.8829
Pd: 0.0000 0.0000 0.0000
Pd: 0.0000 0.0000 0.5000
Pd: 0.3333 0.6667 0.7500
Pd: 0.6667 0.3333 0.2500

Results
Offset from the most stable computed form ... 0.206 eV per atom
DFT total energy ... -59.83 eV for the cell shown
Formation energy ... -7 kJ/mol of formula units
SG ... P6_3/mmc (194)